Entry 1:
This record from Alexandria via LeMat-Bulk describes a relaxed structure of AlCoAsSe2. The functional is PBE-GGA.

```
AlCoAsSe2
1.0
4.9296 0.0000 0.0000
0.0000 4.9296 0.0000
0.0000 0.0000 4.2861
As Co Al Se
1 1 1 2
direct
0.0000 0.0000 0.5000
0.0000 0.0000 0.0000
0.5000 0.5000 0.5000
0.0000 0.5000 0.0000
0.5000 0.0000 0.0000
```

Results
* E_tot: -4.15 eV per atom



Entry 2:
This record from Alexandria via LeMat-Bulk describes a relaxed structure of AlCoAs2Se. The functional is PBE-GGA.

```
AlCoAs2Se
1.0
4.7874 0.0000 0.0000
0.0000 4.7874 0.0000
0.0000 0.0000 4.8839
As Co Al Se
2 1 1 1
direct
0.0000 0.5000 0.0000
0.5000 0.0000 0.0000
0.5000 0.5000 0.5000
0.0000 0.0000 0.0000
0.0000 0.0000 0.5000
```

Results
* E_tot: -3.85 eV per atom



Entry 3:
This record from Alexandria via LeMat-Bulk describes a relaxed structure of AlCoAs2Se. The functional is PBE-GGA.

```
AlCoAs2Se
1.0
-2.8967 -2.8846 -1.6591
1.5362 -3.1104 2.7258
-3.5456 1.4558 3.6594
As Co Al Se
2 1 1 1
direct
0.0000 0.5000 0.0000
0.5000 0.0000 0.0000
0.0000 0.0000 0.0000
0.5000 0.5000 0.5000
0.0000 0.0000 0.5000
```

Results
* E_tot: -4.36 eV per atom



Entry 4:
This record from Alexandria via LeMat-Bulk describes a relaxed structure of AlCoAsSe2. The functional is PBE-GGA.

```
AlCoAsSe2
1.0
-0.0600 -4.7264 1.1968
3.3945 0.8187 3.4033
-3.4204 0.8551 3.2058
As Co Al Se
1 1 1 2
direct
0.0000 0.0000 0.5000
0.5000 0.5000 0.5000
0.0000 0.0000 0.0000
0.0000 0.5000 0.0000
0.5000 0.0000 0.0000
```

Results
* E_tot: -3.76 eV per atom



Entry 5:
This record from Alexandria via LeMat-Bulk describes a relaxed structure of SrAl2CoAs. The functional is PBE-GGA.

```
SrAl2CoAs
1.0
-2.3385 -4.2885 3.1787
4.9847 -1.0885 2.1986
-1.0743 3.7774 4.3059
Sr As Co Al
1 1 1 2
direct
0.0000 0.0000 0.0000
0.0000 0.5000 0.0000
0.5000 0.5000 0.5000
0.0000 0.0000 0.5000
0.5000 0.0000 0.0000
```

Results
* E_form: 832.6 kJ/mol of formula units



Entry 6:
This record from Alexandria via LeMat-Bulk describes a relaxed structure of TaAl2CoAs. The functional is PBE-GGA.

```
TaAl2CoAs
1.0
4.6359 0.0000 0.0000
0.0000 4.7661 0.0000
0.0000 0.0000 4.6359
As Co Al Ta
1 1 2 1
direct
0.0000 0.0000 0.0000
0.5000 0.5000 0.5000
0.0000 0.0000 0.5000
0.5000 0.0000 0.0000
0.0000 0.5000 0.0000
```

Results
* E_form: 567.3 kJ/mol of formula units



Entry 7:
This record from Alexandria via LeMat-Bulk describes a relaxed structure of AlTlCoAs2. The functional is PBE-GGA.

```
AlTlCoAs2
1.0
-2.2241 3.1849 -2.9009
-4.6464 -1.2508 2.1892
0.6326 3.4708 3.3256
Tl Co As Al
1 1 2 1
direct
0.0000 0.5000 0.0000
0.5000 0.5000 0.5000
0.0000 0.0000 0.5000
0.5000 0.0000 0.0000
0.0000 0.0000 0.0000
```

Results
* E_form: 468.9 kJ/mol of formula units



Entry 8:
This record from Alexandria via LeMat-Bulk describes a relaxed structure of AlCoAsW2. The functional is PBE-GGA.

```
AlCoAsW2
1.0
4.5334 0.0000 0.0000
0.0000 4.2671 0.0000
0.0000 0.0000 4.5334
As Co Al W
1 1 1 2
direct
0.5000 0.5000 0.5000
0.0000 0.0000 0.0000
0.0000 0.5000 0.0000
0.0000 0.0000 0.5000
0.5000 0.0000 0.0000
```

Results
* E_form: 474.3 kJ/mol of formula units



Entry 9:
This record from Alexandria via LeMat-Bulk describes a relaxed structure of YAl2CoAs. The functional is PBE-GGA.

```
YAl2CoAs
1.0
5.5354 0.0000 0.0000
0.0000 5.5354 0.0000
0.0000 0.0000 5.2829
Y As Co Al
1 1 1 2
direct
0.0000 0.0000 0.0000
0.0000 0.0000 0.5000
0.5000 0.5000 0.5000
0.0000 0.5000 0.0000
0.5000 0.0000 0.0000
```

Results
* E_form: 660.0 kJ/mol of formula units



Entry 10:
This record from Alexandria via LeMat-Bulk describes a relaxed structure of Al2CrAs. The functional is PBE-GGA.

```
Al2CrAs
1.0
4.8804 -0.0794 0.0349
3.9010 2.9337 0.0349
0.7551 0.2454 4.3429
Cr As Al
1 1 2
direct
0.7500 0.7500 0.7500
0.2500 0.2500 0.2500
0.0027 0.0027 0.9935
0.4973 0.4973 0.5065
```

Results
* E_form: 37.6 kJ/mol of formula units



Entry 11:
This record from Alexandria via LeMat-Bulk describes a relaxed structure of Al2CrAs. The functional is PBE-GGA.

```
Al2CrAs
1.0
4.6583 -0.0565 0.0487
3.7006 2.8299 0.0487
0.6352 0.2107 4.5529
Cr As Al
1 1 2
direct
0.7551 0.7551 0.7446
0.4783 0.4783 0.5369
0.0111 0.0111 0.9810
0.2555 0.2555 0.2375
```

Results
* E_form: 22.2 kJ/mol of formula units



Entry 12:
This record from Alexandria via LeMat-Bulk describes a relaxed structure of AlCr4As. The functional is PBE-GGA.

```
AlCr4As
1.0
-0.2758 1.7552 4.4633
-4.2913 0.7700 2.0173
-1.5020 -2.8081 3.5967
Al Cr As
1 4 1
direct
0.7500 0.7500 0.7500
0.8745 0.3752 0.3752
0.3752 0.3752 0.8745
0.3752 0.8745 0.3752
0.3752 0.3752 0.3752
0.0000 0.0000 0.0000
```

Results
* E_form: 148.6 kJ/mol of formula units



Entry 13:
This record from Alexandria via LeMat-Bulk describes a relaxed structure of AlCrAs2. The functional is PBE-GGA.

```
AlCrAs2
1.0
3.8048 0.0000 0.0000
0.0000 3.5082 -0.0027
0.0000 1.7709 5.0177
Cr As Al
1 2 1
direct
0.0000 0.7098 0.4556
0.0000 0.9955 0.8834
0.5000 0.2721 0.3315
0.5000 0.5226 0.8294
```

Results
* E_form: -17.5 kJ/mol of formula units



Entry 14:
This record from Alexandria via LeMat-Bulk describes a relaxed structure of Al2CrAs. The functional is PBE-GGA.

```
Al2CrAs
1.0
4.5436 0.0000 0.0000
2.2718 3.9349 0.0000
2.2718 1.3116 3.7099
Cr As Al
1 1 2
direct
0.7500 0.7500 0.7500
0.5000 0.5000 0.5000
0.0000 0.0000 0.0000
0.2500 0.2500 0.2500
```

Results
* E_form: 89.8 kJ/mol of formula units



Entry 15:
This record from Alexandria via LeMat-Bulk describes a relaxed structure of AlCrAs2. The functional is PBE-GGA.

```
AlCrAs2
1.0
-1.4626 2.0356 -1.6961
-2.6062 -0.7560 1.3401
1.0979 4.8457 4.8688
Cr As Al
1 2 1
direct
0.5000 0.5000 0.2500
0.0000 0.0000 0.0427
0.0000 0.0000 0.4573
0.5000 0.5000 0.7500
```

Results
* E_form: 30.0 kJ/mol of formula units



Entry 16:
This record from Alexandria via LeMat-Bulk describes a relaxed structure of AlCrAs2. The functional is PBE-GGA.

```
AlCrAs2
1.0
-5.9608 2.0649 -6.5819
-7.6841 0.3281 -4.8951
-7.3981 3.2146 -4.2486
Cr As Al
1 2 1
direct
0.2500 0.2500 0.2500
0.9829 0.9829 0.9829
0.5171 0.5171 0.5171
0.7500 0.7500 0.7500
```

Results
* E_form: 39.5 kJ/mol of formula units



Entry 17:
This record from Alexandria via LeMat-Bulk describes a relaxed structure of Al2CrAs. The functional is PBE-GGA.

```
Al2CrAs
1.0
5.0071 -0.0044 0.0000
2.1008 4.5451 0.0000
-3.5540 -2.2704 2.6993
Cr As Al
1 1 2
direct
0.7500 0.2500 0.5000
0.2500 0.7500 0.5000
0.0000 0.0000 0.0000
0.5000 0.5000 0.0000
```

Results
* E_form: 16.1 kJ/mol of formula units



Entry 18:
This record from Alexandria via LeMat-Bulk describes a relaxed structure of Al2CrAs. The functional is PBE-GGA.

```
Al2CrAs
1.0
4.1869 0.0000 0.0000
0.0000 4.1860 0.0000
0.0000 0.0000 3.6163
Cr As Al
1 1 2
direct
0.0000 0.5000 0.5000
0.5000 0.0000 0.5000
0.0000 0.0000 0.0000
0.5000 0.5000 0.0000
```

Results
* E_form: 28.2 kJ/mol of formula units



Entry 19:
This record from Alexandria via LeMat-Bulk describes a relaxed structure of AlCrAs3. The functional is PBE-GGA.

```
AlCrAs3
1.0
4.8235 0.0000 0.0000
0.0000 4.8235 0.0000
0.0000 0.0000 4.8235
Cr As Al
1 3 1
direct
0.5000 0.5000 0.5000
0.0000 0.5000 0.0000
0.0000 0.0000 0.5000
0.5000 0.0000 0.0000
0.0000 0.0000 0.0000
```

Results
* E_form: 355.8 kJ/mol of formula units



Entry 20:
This record from Alexandria via LeMat-Bulk describes a relaxed structure of AlCrAs2. The functional is PBE-GGA.

```
AlCrAs2
1.0
4.5303 0.0258 0.0730
3.4897 2.8890 0.0730
0.7136 0.2593 5.0538
Cr As Al
1 2 1
direct
0.7500 0.7500 0.7500
0.0335 0.0335 0.9628
0.4665 0.4665 0.5372
0.2500 0.2500 0.2500
```

Results
* E_form: 60.2 kJ/mol of formula units



| no. | calculated density (g/cm³) |
| --- | --- |
| 1 | 5.1 |
| 2 | 4.7 |
| 3 | 5.1 |
| 4 | 4.7 |
| 5 | 2.4 |
| 6 | 6.0 |
| 7 | 5.9 |
| 8 | 10.0 |
| 9 | 2.8 |
| 10 | 4.7 |
| 11 | 4.9 |
| 12 | 6.6 |
| 13 | 5.7 |
| 14 | 4.5 |
| 15 | 6.0 |
| 16 | 5.5 |
| 17 | 4.9 |
| 18 | 4.7 |
| 19 | 4.5 |
| 20 | 5.8 |